# 1
The following is a DFT calculation (PBE-GGA) of a geometry-optimized TlVSeN2 structure.

Output
**Spin magnetization**: 0.000 μB per formula unit
**Crystal system**: tetragonal
**ΔE_f (raw)**: 27.98 kJ/mol of atoms
**Energy above the lowest structure with this stoichiometry**: 0.0 kJ/mol of atoms

abc: 3.879 3.879 5.340
angles: 90.00 90.00 90.00
Space group P4/mmm (No. 123)
Asymmetric unit:
Tl  0.000  0.000  0.000
V  0.500  0.500  0.500
Se  0.500  0.500  0.000
N  0.000  0.500  0.500


# 2
The following is a DFT calculation (PBE-GGA) of a geometry-optimized Pm3Sm4Al4 structure.

Output
**ΔE_f**: -0.1734 eV/atom
**Spin magnetization**: 0.000 μB per formula unit
**Crystal system**: orthorhombic

abc: 5.213 6.900 17.471
angles: 90.00 90.00 90.00
Space group Immm (No. 71)
Asymmetric unit:
Pm  0.000  0.000  0.000
Pm  0.000  0.500  0.099
Sm  0.000  0.267  0.322
Al  0.000  0.000  0.174
Al  0.000  0.198  0.500


# 3
The following is a DFT calculation (PBE-GGA) of a geometry-optimized Ta8Be structure.

Output
**ΔE_f**: 0.0559 eV/atom
**Spin magnetization**: 0.000 μB per formula unit
**Crystal system**: tetragonal

abc: 9.599 9.599 3.410
angles: 90.00 90.00 90.00
Space group I4/mmm (No. 139)
Asymmetric unit:
Ta  0.000  0.329  0.000
Ta  0.159  0.159  0.500
Be  0.000  0.000  0.000


# 4
The following is a DFT calculation (PBE-GGA) of a geometry-optimized Pr3MgSi6Pt2 structure.

Output
**Spin magnetization**: 0.000 μB per formula unit
**Crystal system**: trigonal
**ΔE_f (raw)**: -42.03 kJ/mol of atoms

abc: 5.9733 5.9733 8.1814
angles: 90.00 90.00 120.00
Space group P-3m1 (No. 164)
Asymmetric unit:
Pr  0.0000  0.0000  0.0000
Pr  0.3333  0.6667  0.6368
Mg  0.0000  0.0000  0.5000
Si  0.1989  0.3978  0.2841
Pt  0.3333  0.6667  0.0349